Density functional theory data (PBE) for a relaxed PaBOs3 crystal.

a = 4.2314 Å, b = 4.2314 Å, c = 4.2314 Å
α = 90.00°, β = 90.00°, γ = 90.00°
Closest atoms and distances in Å follow each position.
Fractional coordinates of all 5 atoms:
Pa1 0.0000 0.0000 0.0000  12 Os 2.99
B1 0.5000 0.5000 0.5000  6 Os 2.12
Os1 0.0000 0.5000 0.5000  2 B 2.12
Os2 0.5000 0.0000 0.5000  2 B 2.12
Os3 0.5000 0.5000 0.0000  2 B 2.12

**Energy of formation**: -0.383 eV per atom
**Density of states at the Fermi level**: 0.316 states/eV per atom